Here is a relaxed SiHg2Os crystal from the Alexandria database. Energies are from PBE.

Cell and atoms, written as POSCAR:
```
SiHg2Os
1.0
1.434 0.828 10.522
-1.434 0.828 10.522
0.000 -1.656 10.522
Si Hg Os
1 2 1
Cartesian
0.000 0.000 0.000
0.000 0.000 7.742
0.000 0.000 23.825
0.000 0.000 15.784
```

Here is a relaxed TbMgInHg crystal from the Alexandria database. Energies are from PBE.

Cell and atoms, written as POSCAR:
```
TbMgInHg
1.0
0.000 3.647 3.647
3.647 0.000 3.647
3.647 3.647 0.000
Tb Mg In Hg
1 1 1 1
Cartesian
0.000 0.000 0.000
3.647 3.647 3.647
5.470 5.470 5.470
1.823 1.823 1.823
```

Results
Calculated formation energy = -0.394 eV/atom

Here is a relaxed RbLi3Cr crystal from the Alexandria database. Energies are from PBE.

Cell and atoms, written as POSCAR:
```
RbLi3Cr
1.0
5.329 0.000 0.000
0.000 5.329 0.000
0.000 0.000 5.329
Rb Li Cr
1 3 1
Cartesian
0.000 0.000 0.000
0.000 0.000 2.664
0.000 2.664 0.000
2.664 0.000 0.000
2.664 2.664 2.664
```

Results
Energy above the most stable polymorph in this dataset = 594 meV per atom
Calculated formation energy = 1.171 eV/atom

Here is a relaxed Tb4AlHgO crystal from the Alexandria database. Energies are from PBE.

Cell and atoms, written as POSCAR:
```
Tb4AlHgO
1.0
3.297 -7.874 0.000
3.297 7.874 0.000
0.000 0.000 6.599
Tb Al Hg O
8 2 2 2
Cartesian
1.649 3.937 0.000
1.649 3.937 3.300
3.297 6.696 4.949
3.297 1.204 4.949
1.649 -3.937 0.000
1.649 -3.937 3.300
3.297 -1.204 1.650
3.297 -6.696 1.650
3.297 1.841 1.650
3.297 -1.841 4.949
3.297 6.049 1.650
3.297 -6.049 4.949
3.297 3.965 4.949
3.297 -3.965 1.650
```

Here is a relaxed KSbTe2I crystal from the Alexandria database. Energies are from PBE.

Cell and atoms, written as POSCAR:
```
KSbTe2I
1.0
5.967 0.000 0.000
0.000 5.967 0.000
0.000 0.000 6.354
K Sb Te I
1 1 2 1
Cartesian
0.000 0.000 0.000
0.000 0.000 3.177
0.000 2.984 0.000
2.984 0.000 0.000
2.984 2.984 3.177
```

Results
Energy above the most stable polymorph in this dataset = 1229 meV per atom

Here is a relaxed BaIn4Fe crystal from the Alexandria database. Energies are from PBE.

Cell and atoms, written as POSCAR:
```
BaIn4Fe
1.0
0.000 4.372 4.372
4.372 0.000 4.372
4.372 4.372 0.000
Ba In Fe
1 4 1
Cartesian
0.000 0.000 0.000
3.284 3.284 3.284
5.461 5.461 3.284
5.461 3.284 5.461
3.284 5.461 5.461
6.558 6.558 6.558
```

Results
Calculated formation energy = 0.245 eV/atom

Here is a relaxed Ca3Tb5S8 crystal from the Alexandria database. Energies are from PBE.

Cell and atoms, written as POSCAR:
```
Ca3Tb5S8
1.0
3.947 2.279 6.495
-3.947 2.279 6.495
0.000 -4.557 6.495
Ca Tb S
3 5 8
Cartesian
-1.973 -1.139 6.495
-1.973 1.139 12.991
0.000 2.279 6.495
0.000 0.000 0.000
-3.947 0.000 9.743
-1.973 1.139 3.248
1.973 1.139 3.248
0.000 0.000 9.743
0.000 0.000 4.848
-1.978 -1.142 11.358
0.000 -2.284 8.128
-1.978 1.142 8.128
1.978 -1.142 11.358
0.000 2.284 11.358
1.978 1.142 8.128
0.000 0.000 14.639
```

Here is a relaxed InAgC3 crystal from the Alexandria database. Energies are from PBE.

Cell and atoms, written as POSCAR:
```
InAgC3
1.0
4.231 0.000 0.000
0.000 4.231 0.000
0.000 0.000 4.231
In Ag C
1 1 3
Cartesian
0.000 0.000 0.000
2.115 2.115 2.115
0.000 2.115 2.115
2.115 0.000 2.115
2.115 2.115 0.000
```

Results
Energy above the most stable polymorph in this dataset = 0 meV per atom
Calculated formation energy = 3.010 eV/atom

| no. | calculated total energy (eV/atom) |
| --- | --- |
| 1 | -3.49 |
| 2 | -2.71 |
| 3 | -2.10 |
| 4 | -4.97 |
| 5 | -1.69 |
| 6 | -3.31 |
| 7 | -5.93 |
| 8 | -3.64 |